Record 1
# RbEu2Pt

A geometry-optimized RbEu2Pt structure (PBE-GGA, the Alexandria database).

Cell lengths 4.3255, 4.3255, 11.8087 Å; angles 79.45, 79.45, 60.00 degrees
Atoms (fractional coordinates):
1 Eu 0.1221 0.1221 0.6338
2 Eu 0.8779 0.8779 0.3662
3 Rb 0.0000 0.0000 0.0000
4 Pt 0.5000 0.5000 0.5000

Crystal system: trigonal
Total energy, Ry/atom: -0.538
Magnetic moment, μB per cell: 14.19
Space-group type: R-3m (166)
Energy above the most stable polymorph in this dataset, meV/atom: 0.0
Theoretical density, g cm⁻³: 5.19
Calculated volume, Å³ per atom: 46.752
Formation enthalpy at 0 K, meV per atom: -437

=====

Record 2
# Gd2HfTh

A geometry-optimized Gd2HfTh structure (PBE-GGA, the Alexandria database).

Cell lengths 5.0471, 4.7996, 4.7996 Å; angles 90.00, 90.00, 90.00 degrees
Atoms (fractional coordinates):
1 Gd 0.0000 0.0000 0.5000
2 Gd 0.0000 0.5000 0.0000
3 Hf 0.5000 0.5000 0.5000
4 Th 0.5000 0.0000 0.0000

Crystal system: tetragonal
Total energy, Ry/atom: -0.826
Magnetic moment, μB per cell: 14.07
Space-group type: P4/mmm (123)
Energy above the most stable polymorph in this dataset, meV/atom: 0.0
Theoretical density, g cm⁻³: 10.36
Calculated volume, Å³ per atom: 29.066
Formation enthalpy at 0 K, meV per atom: 140

=====

Record 3
# Nb2AsPtI

A geometry-optimized Nb2AsPtI structure (PBE-GGA, the Alexandria database).

Cell lengths 4.9653, 4.5946, 4.9653 Å; angles 90.00, 90.00, 90.00 degrees
Atoms (fractional coordinates):
1 I 0.5000 0.5000 0.5000
2 Nb 0.0000 0.0000 0.5000
3 Nb 0.5000 0.0000 0.0000
4 As 0.0000 0.0000 0.0000
5 Pt 0.0000 0.5000 0.0000

Crystal system: tetragonal
Total energy, Ry/atom: -0.425
Magnetic moment, μB per cell: 1.19
Space-group type: P4/mmm (123)
Theoretical density, g cm⁻³: 8.54
Calculated volume, Å³ per atom: 22.655

=====

Record 4
# BaGa2Sn

A geometry-optimized BaGa2Sn structure (PBE-GGA, the Alexandria database).

Cell lengths 5.1955, 5.1955, 10.4705 Å; angles 75.63, 75.63, 90.00 degrees
Atoms (fractional coordinates):
1 Ba 0.0000 0.0000 0.0000
2 Ba 0.7500 0.2500 0.5000
3 Ga 0.3780 0.1250 0.2500
4 Ga 0.3720 0.6250 0.2500
5 Ga 0.3750 0.6220 0.7500
6 Ga 0.8750 0.6280 0.7500
7 Sn 0.5000 0.5000 0.0000
8 Sn 0.2500 0.7500 0.5000

Crystal system: tetragonal
Total energy, Ry/atom: -0.239
Magnetic moment, μB per cell: 0.00
Space-group type: I-42d (122)
Theoretical density, g cm⁻³: 4.96
Calculated volume, Å³ per atom: 33.084
Formation enthalpy at 0 K, meV per atom: -262

=====

Record 5
# CdCo2Br

A geometry-optimized CdCo2Br structure (PBE-GGA, the Alexandria database).

Cell lengths 3.1297, 3.1297, 8.3137 Å; angles 90.00, 90.00, 121.00 degrees
Atoms (fractional coordinates):
1 Br 0.5000 0.5000 0.2500
2 Cd 0.5000 0.5000 0.7500
3 Co 0.0000 0.0000 0.0155
4 Co 0.0000 0.0000 0.4845

Crystal system: orthorhombic
Total energy, Ry/atom: -0.258
Magnetic moment, μB per cell: 3.53
Space-group type: Cmmm (65)
Energy above the most stable polymorph in this dataset, meV/atom: 369.5
Theoretical density, g cm⁻³: 7.38
Calculated volume, Å³ per atom: 17.451

=====

Record 6
# ScTeCl2

A geometry-optimized ScTeCl2 structure (PBE-GGA, the Alexandria database).

Cell lengths 8.7839, 8.7839, 8.7839 Å; angles 24.56, 24.56, 24.56 degrees
Atoms (fractional coordinates):
1 Sc 0.5058 0.5058 0.5058
2 Te 0.7609 0.7609 0.7609
3 Cl 0.0056 0.0056 0.0056
4 Cl 0.2277 0.2277 0.2277

Crystal system: trigonal
Total energy, Ry/atom: -0.317
Magnetic moment, μB per cell: 0.00
Space-group type: R3m (160)
Energy above the most stable polymorph in this dataset, meV/atom: 488.4
Theoretical density, g cm⁻³: 3.93
Calculated volume, Å³ per atom: 25.745

=====

Record 7
# Dy4Ho3ThS8

A geometry-optimized Dy4Ho3ThS8 structure (PBE-GGA, the Alexandria database).

Cell lengths 7.8399, 7.8318, 7.8405 Å; angles 120.04, 120.00, 90.00 degrees
Atoms (fractional coordinates):
1 Dy 0.5000 0.0000 0.0000
2 Dy 0.5000 0.0000 0.5000
3 Dy 0.0000 0.0000 0.0000
4 Dy 0.0000 0.0000 0.5000
5 Ho 0.5000 0.5000 0.0000
6 Ho 0.5000 0.5000 0.5000
7 Ho 0.0000 0.5000 0.5000
8 Th 0.0000 0.5000 0.0000
9 S 0.2544 0.7529 0.9985
10 S 0.2544 0.7529 0.5088
11 S 0.2507 0.2522 0.5015
12 S 0.7441 0.7529 0.9985
13 S 0.2559 0.2471 0.0015
14 S 0.7493 0.7478 0.4985
15 S 0.7456 0.2471 0.4912
16 S 0.7456 0.2471 0.0015

Crystal system: trigonal
Total energy, Ry/atom: -0.477
Magnetic moment, μB per cell: 0.00
Space-group type: R-3m (166)
Theoretical density, g cm⁻³: 7.97
Calculated volume, Å³ per atom: 21.263

=====

Record 8
# BaTiSbP2

A geometry-optimized BaTiSbP2 structure (PBE-GGA, the Alexandria database).

Cell lengths 5.4018, 6.0688, 5.4018 Å; angles 90.00, 90.00, 90.00 degrees
Atoms (fractional coordinates):
1 Sb 0.0000 0.5000 0.0000
2 Ba 0.0000 0.0000 0.0000
3 P 0.0000 0.0000 0.5000
4 P 0.5000 0.0000 0.0000
5 Ti 0.5000 0.5000 0.5000

Crystal system: tetragonal
Total energy, Ry/atom: -0.247
Magnetic moment, μB per cell: 0.00
Space-group type: P4/mmm (123)
Theoretical density, g cm⁻³: 3.46
Calculated volume, Å³ per atom: 35.417

=====

Record 9
# LaTb3Nd12

A geometry-optimized LaTb3Nd12 structure (PBE-GGA, the Alexandria database).

Cell lengths 5.1808, 5.1808, 20.7258 Å; angles 90.00, 90.00, 90.00 degrees
Atoms (fractional coordinates):
1 La 0.0000 0.0000 0.0000
2 Tb 0.0000 0.0000 0.2514
3 Tb 0.0000 0.0000 0.5000
4 Tb 0.0000 0.0000 0.7486
5 Nd 0.5000 0.5000 0.0000
6 Nd 0.5000 0.5000 0.2525
7 Nd 0.5000 0.5000 0.5000
8 Nd 0.5000 0.5000 0.7475
9 Nd 0.5000 0.0000 0.1275
10 Nd 0.5000 0.0000 0.3758
11 Nd 0.5000 0.0000 0.6242
12 Nd 0.5000 0.0000 0.8725
13 Nd 0.0000 0.5000 0.1275
14 Nd 0.0000 0.5000 0.3758
15 Nd 0.0000 0.5000 0.6242
16 Nd 0.0000 0.5000 0.8725

Crystal system: tetragonal
Total energy, Ry/atom: -0.348
Magnetic moment, μB per cell: 0.00
Space-group type: P4/mmm (123)
Theoretical density, g cm⁻³: 7.00
Calculated volume, Å³ per atom: 34.769
Formation enthalpy at 0 K, meV per atom: 14

=====

Record 10
# GaTc2Sn

A geometry-optimized GaTc2Sn structure (PBE-GGA, the Alexandria database).

Cell lengths 4.4846, 4.4846, 4.4846 Å; angles 60.00, 60.00, 60.00 degrees
Atoms (fractional coordinates):
1 Sn 0.5000 0.5000 0.5000
2 Ga 0.0000 0.0000 0.0000
3 Tc 0.2500 0.2500 0.2500
4 Tc 0.7500 0.7500 0.7500

Crystal system: cubic
Total energy, Ry/atom: -0.501
Magnetic moment, μB per cell: 0.00
Space-group type: Fm-3m (225)
Energy above the most stable polymorph in this dataset, meV/atom: 0.0
Theoretical density, g cm⁻³: 10.01
Calculated volume, Å³ per atom: 15.944
Formation enthalpy at 0 K, meV per atom: 121

=====

Record 11
# Ba2LiSi3Au4

A geometry-optimized Ba2LiSi3Au4 structure (PBE-GGA, the Alexandria database).

Cell lengths 4.6081, 4.6081, 10.2890 Å; angles 90.00, 90.00, 90.00 degrees
Atoms (fractional coordinates):
1 Ba 0.5000 0.0000 0.2505
2 Ba 0.0000 0.5000 0.7495
3 Li 0.5000 0.5000 0.5000
4 Si 0.0000 0.0000 0.5000
5 Si 0.5000 0.0000 0.8749
6 Si 0.0000 0.5000 0.1251
7 Au 0.5000 0.5000 0.0000
8 Au 0.0000 0.0000 0.0000
9 Au 0.5000 0.0000 0.6215
10 Au 0.0000 0.5000 0.3785

Crystal system: tetragonal
Total energy, Ry/atom: -0.296
Magnetic moment, μB per cell: 0.00
Space-group type: P-4m2 (115)
Theoretical density, g cm⁻³: 8.77
Calculated volume, Å³ per atom: 21.848

=====

Record 12
# CsInSi

A geometry-optimized CsInSi structure (PBE-GGA, the Alexandria database).

Cell lengths 11.6526, 4.5441, 9.5578 Å; angles 90.00, 90.00, 90.00 degrees
Atoms (fractional coordinates):
1 Cs 0.8170 0.2500 0.5458
2 Cs 0.6830 0.7500 0.0458
3 Cs 0.1830 0.7500 0.4542
4 Cs 0.3170 0.2500 0.9542
5 Si 0.5000 0.2500 0.2850
6 Si 0.0000 0.7500 0.7850
7 Si 0.5000 0.7500 0.7150
8 Si 0.0000 0.2500 0.2150
9 In 0.9491 0.2500 0.9136
10 In 0.5509 0.7500 0.4136
11 In 0.0509 0.7500 0.0864
12 In 0.4491 0.2500 0.5864

Crystal system: orthorhombic
Total energy, Ry/atom: -0.210
Magnetic moment, μB per cell: 0.00
Space-group type: Pnma (62)
Theoretical density, g cm⁻³: 3.62
Calculated volume, Å³ per atom: 42.174

=====

> Which value of total energy does entry 7 give?

-0.477 Ry/atom

=====

> theoretical density of number 9 (LaTb3Nd12)?

7.00 g cm⁻³

=====

> Among the records above, which one has the highest calculated volume?

RbEu2Pt